Entry 1:
The following is a DFT calculation (PBE-GGA) of a relaxed Pu2AlCu9 crystal.

The structure in extended XYZ format:
```
12
Lattice="-1.130 1.071 -4.772 1.672 -2.952 -3.699 -6.726 -5.278 -2.232" Properties=species:S:1:pos:R:3 pbc="T T T"
Pu -2.414 -3.871 -8.217
Pu -3.770 -3.288 -2.485
Al 0.000 0.000 0.000
Cu -6.349 -6.522 -7.880
Cu 0.165 -0.637 -2.822
Cu -3.092 -3.580 -5.351
Cu -1.394 -2.062 -4.093
Cu -1.959 -1.526 -6.478
Cu -0.559 -3.538 -5.942
Cu -4.790 -5.097 -6.609
Cu -5.626 -3.622 -4.760
Cu -4.225 -5.633 -4.224
```

Results
crystal system: trigonal
formation energy: 28.1 meV/atom
E_tot: -68.94 eV for the cell shown


Entry 2:
The following is a DFT calculation (PBE-GGA) of a relaxed LiCd2Pt crystal.

The structure in extended XYZ format:
```
4
Lattice="-1.581 2.290 -0.972 -3.368 -1.651 1.590 1.000 2.843 5.071" Properties=species:S:1:pos:R:3 pbc="T T T"
Li -2.224 1.030 1.577
Pt -1.724 2.452 4.112
Cd 0.999 2.839 5.063
Cd 0.501 1.426 2.543
```

Results
offset from the most stable computed form: 9.06 kJ/mol of atoms
crystal system: orthorhombic
formation energy: -342.3 meV/atom
E_tot: -11.15 eV for the cell shown


Entry 3:
The following is a DFT calculation (PBE-GGA) of a relaxed TaIn2Sb crystal.

The structure in extended XYZ format:
```
4
Lattice="5.647 0.000 0.000 2.280 5.166 0.000 -3.963 -2.583 3.084" Properties=species:S:1:pos:R:3 pbc="T T T"
In 0.000 0.000 0.000
In 1.140 2.583 1.542
Sb 3.963 2.583 0.000
Ta 2.824 0.000 1.542
```

Results
crystal system: tetragonal
uncorrected formation energy: 0.4139 eV per atom
E_tot: -19.80 eV for the cell shown


Entry 4:
The following is a DFT calculation (PBE-GGA) of a relaxed Cd2SiOs2 crystal.

The structure in extended XYZ format:
```
5
Lattice="-1.522 -0.351 3.170 -3.068 -0.799 -1.562 -0.511 -7.578 0.885" Properties=species:S:1:pos:R:3 pbc="T T T"
Si 0.000 0.000 0.000
Os -1.993 -1.761 0.818
Os -3.109 -6.967 1.675
Cd -2.164 -4.252 2.430
Cd -2.937 -4.476 0.064
```

Results
offset from the most stable computed form: 85.25 kJ/mol of atoms
crystal system: tetragonal
uncorrected formation energy: 1.0571 eV per atom
E_tot: -24.43 eV for the cell shown